# Ca2GaGe4Ir3

A relaxed Ca2GaGe4Ir3 crystal (PBE, the Alexandria database).

Geometry as POSCAR:
```
Ca2GaGe4Ir3
1.0
4.2296 0.0000 0.0000
0.0000 4.2296 0.0000
0.0000 0.0000 10.5556
Ga Ir Ge Ca
1 3 4 2
direct
0.5000 0.5000 0.5000
0.5000 0.0000 0.8750
0.0000 0.5000 0.1250
0.0000 0.0000 0.5000
0.5000 0.5000 0.0000
0.0000 0.0000 0.0000
0.0000 0.5000 0.3585
0.5000 0.0000 0.6415
0.5000 0.0000 0.2451
0.0000 0.5000 0.7549
```

Summary:
- Crystal system: tetragonal
- E: -57.1 eV for the cell shown
- Volume: 18.88 Å³ per atom
- SG: P-4m2
- Magnetic moment: 0.000 μB per atom
- Energy of formation from the pure elements: -0.51 eV/atom

***

# CaLaGaGe

A relaxed CaLaGaGe crystal (PBE, the Alexandria database).

Geometry as POSCAR:
```
CaLaGaGe
1.0
-1.6769 2.7899 -4.1130
-5.1162 0.1692 -1.1439
-2.7129 4.4240 0.7623
Ga Ge Ca La
1 1 1 1
direct
0.2500 0.2500 0.2500
0.7500 0.7500 0.7500
0.5000 0.5000 0.5000
0.0000 0.0000 0.0000
```

Summary:
- Crystal system: cubic
- Energy above the lowest structure with this stoichiometry: 0.53 eV per formula unit
- E: -16.8 eV for the cell shown
- Volume: 25.51 Å³ per atom
- SG: F-43m
- Magnetic moment: 0.000 μB per atom
- Energy of formation from the pure elements: -0.56 eV/atom

***

# CaLaGaGe

A relaxed CaLaGaGe crystal (PBE, the Alexandria database).

Geometry as POSCAR:
```
CaLaGaGe
1.0
-2.8767 3.4849 0.6178
-2.8923 -2.6392 1.4191
3.3846 -1.0630 4.9213
Ge La Ca Ga
1 1 1 1
direct
0.3193 0.0000 0.6386
0.7534 0.5000 0.5068
0.0299 0.0000 0.0598
0.4670 0.5000 0.9341
```

Summary:
- Crystal system: orthorhombic
- Energy above the lowest structure with this stoichiometry: 0.00 eV per formula unit
- E: -17.3 eV for the cell shown
- Volume: 26.70 Å³ per atom
- SG: Amm2
- Magnetic moment: 0.000 μB per atom
- Energy of formation from the pure elements: -0.69 eV/atom

***

# LiCaGaGe2

A relaxed LiCaGaGe2 crystal (PBE, the Alexandria database).

Geometry as POSCAR:
```
LiCaGaGe2
1.0
4.2303 0.0000 0.0000
0.0000 4.2303 0.0000
-2.1151 -2.1151 5.6180
Li Ge Ca Ga
1 2 1 1
direct
0.2500 0.7500 0.5000
0.3881 0.3881 0.7762
0.6119 0.6119 0.2238
0.0000 0.0000 0.0000
0.7500 0.2500 0.5000
```

Summary:
- Crystal system: tetragonal
- E: -18.3 eV for the cell shown
- Volume: 20.11 Å³ per atom
- SG: I-4m2
- Magnetic moment: 0.000 μB per atom
- Energy of formation from the pure elements: -0.43 eV/atom

***

# Li2CaGa2Ge2

A relaxed Li2CaGa2Ge2 crystal (PBE, the Alexandria database).

Geometry as POSCAR:
```
Li2CaGa2Ge2
1.0
-2.2541 -2.1868 2.9114
0.9139 -4.1126 0.7681
4.9033 0.1829 7.0831
Ge Ca Ga Li
2 1 2 2
direct
0.2578 0.2578 0.2265
0.7422 0.7422 0.7735
0.0000 0.0000 0.0000
0.5548 0.5548 0.3357
0.4452 0.4452 0.6643
0.8542 0.8542 0.4374
0.1458 0.1458 0.5626
```

Summary:
- Crystal system: trigonal
- E: -24.0 eV for the cell shown
- Volume: 18.73 Å³ per atom
- SG: R-3m
- Magnetic moment: 0.000 μB per atom
- Energy of formation from the pure elements: -0.42 eV/atom

***

# Li2CaGaGe2

A relaxed Li2CaGaGe2 crystal (PBE, the Alexandria database).

Geometry as POSCAR:
```
Li2CaGaGe2
1.0
4.2338 0.0000 0.0000
0.0000 7.1734 0.0000
0.0000 0.0000 7.8160
Li Ge Ga Ca
4 4 2 2
direct
0.0000 0.3583 0.1806
0.5000 0.0371 0.0698
0.5000 0.5371 0.9302
0.0000 0.8583 0.8194
0.0000 0.2242 0.8771
0.0000 0.7242 0.1229
0.5000 0.2826 0.3664
0.5000 0.7826 0.6336
0.5000 0.1511 0.6912
0.5000 0.6511 0.3088
0.0000 0.9924 0.4271
0.0000 0.4924 0.5729
```

Summary:
- Crystal system: orthorhombic
- E: -41.1 eV for the cell shown
- Volume: 19.78 Å³ per atom
- SG: Pmc2_1
- Magnetic moment: 0.000 μB per atom
- Energy of formation from the pure elements: -0.41 eV/atom

***

Q: Look up the magnetic moment of the sixth one.
A: 0.000 μB per atom